## Na2LiPd2O6 (GGA-PBE)

Data for crystalline Na2LiPd2O6 at its relaxed geometry.

Cell lengths 5.3235, 5.3235, 5.7201 Å; angles 97.98, 97.98, 121.56 degrees
Closest atoms and distances in Å follow each position.
Positions (direct):
Na1 0.8409 0.1591 0.0000  6 O 2.39-2.43
Na2 0.1591 0.8409 0.0000  6 O 2.39-2.43
Li1 0.0000 0.0000 0.5000  6 O 2.11-2.18
Pd1 0.3367 0.6633 0.5000  6 O 2.02-2.03
Pd2 0.6633 0.3367 0.5000  6 O 2.02-2.03
O1 0.7143 0.7143 0.6979  2 Pd 2.03, 1 Li 2.11
O2 0.0539 0.4135 0.6970  2 Pd 2.02, 1 Li 2.18
O3 0.2857 0.2857 0.3021  2 Pd 2.03, 1 Li 2.11
O4 0.4135 0.0539 0.6970  2 Pd 2.02, 1 Li 2.18
O5 0.9461 0.5865 0.3030  2 Pd 2.02, 1 Li 2.18
O6 0.5865 0.9461 0.3030  2 Pd 2.02, 1 Li 2.18

Calculated values
Its space group is No. 12. The volume comes out at 132 Å³ per cell. Its total energy is -5.016 eV/atom. The value obtained for the density of states at the Fermi level is 9.68 states/eV/f.u.

---

## Pm5Tl2Ru2 (GGA-PBE)

Data for crystalline Pm5Tl2Ru2 at its relaxed geometry.

Cell lengths 7.8536, 7.6549, 9.1662 Å; angles 114.68, 90.00, 90.00 degrees
Closest atoms and distances in Å follow each position.
Positions (direct):
Pm1 0.0000 0.0000 0.0000  4 Ru 3.03-3.05
Pm2 0.5000 0.5000 0.0000  4 Ru 3.03-3.05
Pm3 0.8299 0.7862 0.2322  3 Ru 2.92-3.08
Pm4 0.1701 0.4460 0.2322  3 Ru 2.92-3.08
Pm5 0.3299 0.9460 0.2322  3 Ru 2.92-3.08
Pm6 0.6701 0.2862 0.2322  3 Ru 2.92-3.08
Pm7 0.1701 0.2138 0.7678  3 Ru 2.92-3.08
Pm8 0.8299 0.5540 0.7678  3 Ru 2.92-3.08
Pm9 0.6701 0.0540 0.7678  3 Ru 2.92-3.08
Pm10 0.3299 0.7138 0.7678  3 Ru 2.92-3.08
Tl1 0.0000 0.2196 0.4391  7 Pm 3.31-3.66
Tl2 0.5000 0.7196 0.4391  7 Pm 3.31-3.66
Tl3 0.0000 0.7804 0.5609  7 Pm 3.31-3.66
Tl4 0.5000 0.2804 0.5609  7 Pm 3.31-3.66
Ru1 0.6320 0.8721 0.0000  1 Ru 2.85, 8 Pm 2.92-3.08
Ru2 0.3680 0.1279 0.0000  1 Ru 2.85, 8 Pm 2.92-3.08
Ru3 0.1320 0.6279 0.0000  1 Ru 2.85, 8 Pm 2.92-3.08
Ru4 0.8680 0.3721 0.0000  1 Ru 2.85, 8 Pm 2.92-3.08

Calculated values
The calculation puts the energy of formation at -0.29 eV per atom. Its space group is No. 64. The volume comes out at 501 Å³ per cell. Its total energy is -5.513 eV/atom. The value obtained for the density of states at the Fermi level is 5.59 states/eV/f.u.

---

## Sc6Bi2As (GGA-PBE)

Data for crystalline Sc6Bi2As at its relaxed geometry.

Cell lengths 3.9842, 7.7652, 7.7647 Å; angles 120.00, 90.00, 90.00 degrees
Closest atoms and distances in Å follow each position.
Positions (direct):
Sc1 0.5000 0.6109 0.0000  1 As 3.02, 4 Bi 3.12, 4 Sc 3.31
Sc2 0.5000 0.3892 0.3893  1 As 3.02, 4 Bi 3.12, 4 Sc 3.31
Sc3 0.5000 0.9999 0.6107  1 As 3.02, 4 Bi 3.12, 4 Sc 3.31
Sc4 0.0000 0.2421 0.0000  2 As 2.74, 2 Bi 3.01
Sc5 0.0000 0.7579 0.7580  2 As 2.74, 2 Bi 3.01
Sc6 0.0000 0.0000 0.2420  2 As 2.74, 2 Bi 3.01
Bi1 0.0000 0.3333 0.6667  9 Sc 3.01-3.12
Bi2 0.0000 0.6666 0.3333  9 Sc 3.01-3.12
As1 0.5000 0.0001 0.0000  9 Sc 2.74-3.02

Calculated values
The calculation puts the energy of formation at -0.68 eV per atom. Its space group is No. 189. The volume comes out at 208 Å³ per cell. Its total energy is -6.282 eV/atom. The value obtained for the density of states at the Fermi level is 13.51 states/eV/f.u.

---

## Rb2NaHoF6 (GGA-PBE)

Data for crystalline Rb2NaHoF6 at its relaxed geometry.

Cell lengths 6.3502, 6.3502, 6.3502 Å; angles 120.25, 120.25, 89.57 degrees
Closest atoms and distances in Å follow each position.
Positions (direct):
Rb1 0.7500 0.2500 0.5000  8 F 2.99-3.16
Rb2 0.2500 0.7500 0.5000  8 F 2.99-3.16
Na1 0.0000 0.0000 0.0000  6 F 2.33
Ho1 0.5000 0.5000 0.0000  6 F 2.17
F1 0.2588 0.2588 0.0000  1 Ho 2.17, 1 Na 2.33
F2 0.7412 0.7412 0.0000  1 Ho 2.17, 1 Na 2.33
F3 0.2287 0.2892 0.5179  1 Ho 2.17, 1 Na 2.33
F4 0.7108 0.2287 0.9395  1 Ho 2.17, 1 Na 2.33
F5 0.7713 0.7108 0.4821  1 Ho 2.17, 1 Na 2.33
F6 0.2892 0.7713 0.0605  1 Ho 2.17, 1 Na 2.33

Calculated values
Its space group is No. 87. The volume comes out at 180 Å³ per cell. Its total energy is -5.255 eV/atom. The value obtained for the density of states at the Fermi level is 0.00 states/eV/f.u.

---

## NbSeCl3 (GGA-PBE)

Data for crystalline NbSeCl3 at its relaxed geometry.

Cell lengths 4.8962, 4.8962, 4.8962 Å; angles 90.00, 90.00, 90.00 degrees
Closest atoms and distances in Å follow each position.
Positions (direct):
Nb1 0.0000 0.0000 0.0000  6 Cl 2.45
Se1 0.5000 0.5000 0.5000  12 Cl 3.46
Cl1 0.0000 0.5000 0.0000  2 Nb 2.45
Cl2 0.0000 0.0000 0.5000  2 Nb 2.45
Cl3 0.5000 0.0000 0.0000  2 Nb 2.45

Calculated values
Its space group is No. 221. The volume comes out at 117 Å³ per cell. Its total energy is -4.004 eV/atom. The value obtained for the density of states at the Fermi level is 16.60 states/eV/f.u.

---

## NaInAsSe2 (GGA-PBE)

Data for crystalline NaInAsSe2 at its relaxed geometry.

Cell lengths 5.4315, 5.4315, 5.2737 Å; angles 90.00, 90.00, 90.00 degrees
Closest atoms and distances in Å follow each position.
Positions (direct):
Na1 0.5000 0.5000 0.5000  8 Se 3.79, 4 As 3.84
As1 0.0000 0.0000 0.5000  2 In 2.64
Se1 0.0000 0.5000 0.0000  2 In 2.72
Se2 0.5000 0.0000 0.0000  2 In 2.72
In1 0.0000 0.0000 0.0000  2 As 2.64, 4 Se 2.72

Calculated values
Its space group is No. 123. The volume comes out at 156 Å³ per cell. Its total energy is -3.016 eV/atom. The value obtained for the density of states at the Fermi level is 4.68 states/eV/f.u. For the relative energy among the computed polymorphs, the calculation gives 0.000 eV per atom.

---

## NaYTi3 (GGA-PBE)

Data for crystalline NaYTi3 at its relaxed geometry.

Cell lengths 5.1036, 5.1036, 5.1036 Å; angles 90.00, 90.00, 90.00 degrees
Closest atoms and distances in Å follow each position.
Positions (direct):
Y1 0.0000 0.0000 0.0000  6 Ti 2.55
Na1 0.5000 0.5000 0.5000  12 Ti 3.61
Ti1 0.0000 0.5000 0.0000  2 Y 2.55
Ti2 0.0000 0.0000 0.5000  2 Y 2.55
Ti3 0.5000 0.0000 0.0000  2 Y 2.55

Calculated values
The calculation puts the energy of formation at 1.47 eV per atom. Its space group is No. 221. The volume comes out at 133 Å³ per cell. Its total energy is -4.825 eV/atom. The value obtained for the density of states at the Fermi level is 8.60 states/eV/f.u. For the relative energy among the computed polymorphs, the calculation gives 0.167 eV per atom.

---

## DyPuSnPb (GGA-PBE)

Data for crystalline DyPuSnPb at its relaxed geometry.

Cell lengths 5.3882, 5.3882, 5.3882 Å; angles 60.00, 60.00, 60.00 degrees
Closest atoms and distances in Å follow each position.
Positions (direct):
Pb1 0.7500 0.7500 0.7500  4 Pu 3.30, 4 Dy 3.30
Dy1 0.0000 0.0000 0.0000  4 Sn 3.30, 4 Pb 3.30
Sn1 0.2500 0.2500 0.2500  4 Pu 3.30, 4 Dy 3.30
Pu1 0.5000 0.5000 0.5000  4 Sn 3.30, 4 Pb 3.30

Calculated values
The calculation puts the energy of formation at -0.33 eV per atom. Its space group is No. 216. The volume comes out at 111 Å³ per cell. Its total energy is -6.988 eV/atom. The value obtained for the density of states at the Fermi level is 11.20 states/eV/f.u.

---

## AcSm3In4 (GGA-PBE)

Data for crystalline AcSm3In4 at its relaxed geometry.

Cell lengths 5.6714, 7.5302, 11.1286 Å; angles 90.00, 90.00, 90.00 degrees
Closest atoms and distances in Å follow each position.
Positions (direct):
Ac1 0.0000 0.5000 0.0000  8 In 3.46-3.47, 4 Sm 3.75-3.77
Ac2 0.0000 0.5000 0.5000  8 In 3.46-3.47, 4 Sm 3.75-3.77
Sm1 0.0000 0.0000 0.0000  8 In 3.33-3.34, 2 Sm 3.69
Sm2 0.0000 0.0000 0.5000  8 In 3.33-3.34, 2 Sm 3.69
Sm3 0.5733 0.0000 0.7500  8 In 3.30-3.38, 2 Sm 3.69
Sm4 0.4267 0.0000 0.2500  8 In 3.30-3.38, 2 Sm 3.69
Sm5 0.5579 0.5000 0.7500  8 In 3.36-3.58, 2 Ac 3.75
Sm6 0.4421 0.5000 0.2500  8 In 3.36-3.58, 2 Ac 3.75
In1 0.5000 0.7655 0.0000  6 Sm 3.32-3.44, 2 Ac 3.47, 3 In 3.53-3.66
In2 0.5000 0.7655 0.5000  6 Sm 3.32-3.44, 2 Ac 3.47, 3 In 3.53-3.66
In3 0.5000 0.2345 0.0000  6 Sm 3.32-3.44, 2 Ac 3.47, 3 In 3.53-3.66
In4 0.5000 0.2345 0.5000  6 Sm 3.32-3.44, 2 Ac 3.47, 3 In 3.53-3.66
In5 0.0810 0.7652 0.7500  6 Sm 3.30-3.58, 2 Ac 3.46, 3 In 3.54-3.66
In6 0.9190 0.7652 0.2500  6 Sm 3.30-3.58, 2 Ac 3.46, 3 In 3.54-3.66
In7 0.9190 0.2348 0.2500  6 Sm 3.30-3.58, 2 Ac 3.46, 3 In 3.54-3.66
In8 0.0810 0.2348 0.7500  6 Sm 3.30-3.58, 2 Ac 3.46, 3 In 3.54-3.66

Calculated values
The calculation puts the energy of formation at -0.45 eV per atom. Its space group is No. 51. The volume comes out at 475 Å³ per cell. Its total energy is -4.103 eV/atom. The value obtained for the density of states at the Fermi level is 4.87 states/eV/f.u.

---

## Sr2Tl5Cd5 (GGA-PBE)

Data for crystalline Sr2Tl5Cd5 at its relaxed geometry.

Cell lengths 5.2179, 6.1976, 11.1184 Å; angles 90.00, 90.00, 90.00 degrees
Closest atoms and distances in Å follow each position.
Positions (direct):
Sr1 0.0000 0.5000 0.0000  10 Tl 3.68-4.05
Sr2 0.0000 0.0000 0.5000  6 Tl 3.58-3.60
Tl1 0.0000 0.5000 0.3358  6 Cd 3.15-3.18
Tl2 0.0000 0.0000 0.8223  4 Cd 3.16, 2 Tl 3.27
Tl3 0.0000 0.0000 0.1777  4 Cd 3.16, 2 Tl 3.27
Tl4 0.0000 0.5000 0.6642  6 Cd 3.15-3.18
Tl5 0.5000 0.0000 0.0000  4 Cd 3.27, 4 Tl 3.27
Cd1 0.5000 0.5000 0.5000  4 Cd 3.09, 4 Tl 3.18
Cd2 0.5000 0.7513 0.2595  3 Cd 3.08-3.11, 5 Tl 3.15-3.27
Cd3 0.5000 0.2487 0.7405  3 Cd 3.08-3.11, 5 Tl 3.15-3.27
Cd4 0.5000 0.2487 0.2595  3 Cd 3.08-3.11, 5 Tl 3.15-3.27
Cd5 0.5000 0.7513 0.7405  3 Cd 3.08-3.11, 5 Tl 3.15-3.27

Calculated values
The calculation puts the energy of formation at -0.11 eV per atom. Its space group is No. 47. The volume comes out at 360 Å³ per cell. Its total energy is -1.761 eV/atom. The value obtained for the density of states at the Fermi level is 5.36 states/eV/f.u.

---

## SrZn2PRu2 (GGA-PBE)

Data for crystalline SrZn2PRu2 at its relaxed geometry.

Cell lengths 4.4101, 4.4101, 5.9082 Å; angles 90.00, 90.00, 90.00 degrees
Closest atoms and distances in Å follow each position.
Positions (direct):
Sr1 0.0000 0.0000 0.5000  2 P 2.95
Zn1 0.5000 0.5000 0.7284  1 Zn 2.70, 4 Ru 2.73
Zn2 0.5000 0.5000 0.2716  1 Zn 2.70, 4 Ru 2.73
P1 0.0000 0.0000 0.0000  4 Ru 2.21
Ru1 0.5000 0.0000 0.0000  2 P 2.21
Ru2 0.0000 0.5000 0.0000  2 P 2.21

Calculated values
The calculation puts the energy of formation at -0.33 eV per atom. Its space group is No. 123. The volume comes out at 115 Å³ per cell. Its total energy is -5.026 eV/atom. The value obtained for the density of states at the Fermi level is 2.42 states/eV/f.u.

---

## Ca2Mg2Sn2H (GGA-PBE)

Data for crystalline Ca2Mg2Sn2H at its relaxed geometry.

Cell lengths 4.5215, 4.5215, 8.6255 Å; angles 105.19, 105.19, 90.00 degrees
Closest atoms and distances in Å follow each position.
Positions (direct):
Ca1 0.1660 0.1660 0.3321  1 H 2.66
Ca2 0.8340 0.8340 0.6679  1 H 2.66
Mg1 0.0000 0.5000 0.0000  2 H 2.26
Mg2 0.5000 0.0000 0.0000  2 H 2.26
Sn1 0.3739 0.3739 0.7477  4 Mg 3.03, 5 Ca 3.26-3.33
Sn2 0.6261 0.6261 0.2523  4 Mg 3.03, 5 Ca 3.26-3.33
H1 0.0000 0.0000 0.0000  4 Mg 2.26

Calculated values
Its space group is No. 139. The volume comes out at 164 Å³ per cell. Its total energy is -3.112 eV/atom. The value obtained for the density of states at the Fermi level is 1.55 states/eV/f.u.

---

Which value of volume does entry 2 give? 501 Å³ per cell